Computed, not measured: a geometry-optimized Tb12Pr7Mg structure at the PBE level of DFT.

a b c (Å): 8.810 8.810 8.810
angles (deg): 86.59 86.59 86.59
Atoms (fractional coordinates):
Tb: 0.262 0.139 0.753
Tb: 0.738 0.861 0.247
Tb: 0.500 0.613 0.139
Tb: 0.139 0.500 0.613
Tb: 0.500 0.387 0.861
Tb: 0.753 0.262 0.139
Tb: 0.247 0.738 0.861
Tb: 0.139 0.753 0.262
Tb: 0.861 0.247 0.738
Tb: 0.613 0.139 0.500
Tb: 0.387 0.861 0.500
Tb: 0.861 0.500 0.387
Pr: 0.082 0.151 0.397
Pr: 0.603 0.918 0.849
Pr: 0.918 0.849 0.603
Pr: 0.151 0.397 0.082
Pr: 0.849 0.603 0.918
Pr: 0.500 0.500 0.500
Pr: 0.397 0.082 0.151
Mg: 0.000 0.000 0.000

Summary:
E_tot   -4.334 eV/atom
ΔE_f   196 meV/atom

Computed, not measured: a geometry-optimized CaLaNd4Sm2 structure at the PBE level of DFT.

a b c (Å): 9.782 9.782 12.151
angles (deg): 128.41 128.41 88.43
Atoms (fractional coordinates):
Nd: 0.246 0.245 0.507
Nd: 0.746 0.249 0.998
Nd: 0.745 0.746 0.007
Nd: 0.255 0.254 0.993
Nd: 0.749 0.246 0.498
Nd: 0.254 0.751 0.002
Nd: 0.251 0.754 0.502
Nd: 0.754 0.755 0.493
Ca: 0.500 0.500 0.500
Ca: 0.000 0.000 0.000
Sm: 0.500 0.500 0.000
Sm: 0.500 0.000 0.000
Sm: 0.000 0.000 0.500
Sm: 0.500 0.000 0.500
La: 0.000 0.500 0.000
La: 0.000 0.500 0.500

Summary:
E_tot   -4.075 eV/atom
ΔE_f   355 meV/atom

Computed, not measured: a geometry-optimized Sr4ReAu structure at the PBE level of DFT.

a b c (Å): 6.578 6.578 6.578
angles (deg): 60.00 60.00 60.00
Site moments in Bohr magnetons follow the coordinates.
Atoms (fractional coordinates):
Sr: 0.374 0.877 0.374  -0.06
Sr: 0.374 0.374 0.877  -0.06
Sr: 0.877 0.374 0.374  -0.06
Sr: 0.374 0.374 0.374  -0.06
Re: 0.000 0.000 0.000  2.42
Au: 0.750 0.750 0.750  0.01

Summary:
E_tot   -2.493 eV/atom
ΔE_f   1249 meV/atom

What is the formula in the first record? Tb12Pr7Mg

Which formula does entry 3 have? Sr4ReAu

What is the formula in the first record? Tb12Pr7Mg